## B3C2 (PBE)

Data for a relaxed structure of B3C2.

Lattice parameters (Å, degrees): 3.578 4.695 4.943 78.30 114.40 115.67
Element x y z (fractional)
B  0.711  0.476  0.438
B  0.332  0.622  0.115
B  0.643  0.438  0.808
B  0.166  0.793  0.637
B  0.324  0.922  0.306
B  0.020  0.253  0.178
C  0.004  0.986  0.978
C  0.564  0.715  0.890
C  0.821  0.184  0.430
C  0.166  0.111  0.720

- Calculated volume: 34.07 Å³/f.u.
- D(E_F): 0.39 states/eV per cell
- Final energy: -72.6 eV/cell
- Space-group type: P1, No. 1
- ΔE_f: 436 meV/atom

## BC (PBE)

Data for a relaxed structure of BC.

Lattice parameters (Å, degrees): 4.634 4.634 2.665 90.00 90.00 110.65
Element x y z (fractional)
C  0.859  0.109  0.500
C  0.388  0.112  0.000
C  0.391  0.641  0.500
C  0.503  0.997  0.500
B  0.017  0.052  0.000
B  0.448  0.483  0.000
B  0.868  0.632  0.000
B  0.026  0.474  0.500

- Calculated volume: 13.39 Å³/f.u.
- D(E_F): 1.14 states/eV per cell
- Final energy: -60.3 eV/cell
- Space-group type: Amm2, No. 38
- ΔE_f: 415 meV/atom

## BC (PBE)

Data for a relaxed structure of BC.

Lattice parameters (Å, degrees): 11.027 11.027 11.027 167.43 166.81 18.26
Element x y z (fractional)
C  0.016  0.016  0.000
C  0.056  0.556  0.500
C  0.240  0.740  0.500
C  0.600  0.600  0.000
C  0.640  0.140  0.500
B  0.785  0.785  0.000
B  0.469  0.969  0.500
B  0.188  0.188  0.000
B  0.848  0.348  0.500
B  0.407  0.407  0.000

- Calculated volume: 13.32 Å³/f.u.
- D(E_F): 1.64 states/eV per cell
- Final energy: -75.8 eV/cell
- Space-group type: Imm2, No. 44
- ΔE_f: 366 meV/atom

## BC (PBE)

Data for a relaxed structure of BC.

Lattice parameters (Å, degrees): 4.622 4.622 8.608 120.69 120.69 31.80
Element x y z (fractional)
C  0.866  0.866  0.062
C  0.471  0.471  0.397
C  0.342  0.342  0.656
C  0.976  0.976  0.493
C  0.506  0.506  0.853
C  0.832  0.832  0.548
B  0.645  0.645  0.358
B  0.005  0.005  0.964
B  0.403  0.403  0.184
B  0.179  0.179  0.691
B  0.083  0.083  0.190
B  0.693  0.693  0.855

- Calculated volume: 13.68 Å³/f.u.
- D(E_F): 1.76 states/eV per cell
- Final energy: -91.0 eV/cell
- Space-group type: Cm, No. 8
- ΔE_f: 364 meV/atom

## BC (PBE)

Data for a relaxed structure of BC.

Lattice parameters (Å, degrees): 2.652 5.013 6.581 91.86 90.00 90.00
Element x y z (fractional)
B  0.500  0.805  0.345
B  0.000  0.028  0.238
B  0.500  0.106  0.887
B  0.000  0.234  0.544
B  0.500  0.600  0.040
B  0.000  0.728  0.696
C  0.000  0.019  0.995
C  0.500  0.138  0.648
C  0.500  0.479  0.255
C  0.500  0.814  0.588
C  0.000  0.695  0.935
C  0.000  0.354  0.328

- Calculated volume: 14.58 Å³/f.u.
- D(E_F): 2.88 states/eV per cell
- Final energy: -90.9 eV/cell
- Space-group type: P2_1/m, No. 11
- ΔE_f: 376 meV/atom

## BC (PBE)

Data for a relaxed structure of BC.

Lattice parameters (Å, degrees): 6.485 7.517 7.517 159.18 142.26 44.35
Element x y z (fractional)
B  0.868  0.332  0.536
B  0.664  0.176  0.488
B  0.124  0.645  0.478
B  0.411  0.837  0.574
B  0.952  0.764  0.188
B  0.976  0.981  0.995
C  0.120  0.463  0.657
C  0.762  0.634  0.128
C  0.307  0.166  0.141
C  0.603  0.964  0.639
C  0.459  0.289  0.170
C  0.505  0.500  0.004

- Calculated volume: 13.20 Å³/f.u.
- D(E_F): 0.79 states/eV per cell
- Final energy: -91.0 eV/cell
- Space-group type: Cm, No. 8
- ΔE_f: 366 meV/atom

## B7C5 (PBE)

Data for a relaxed structure of B7C5.

Lattice parameters (Å, degrees): 2.420 4.823 7.081 94.87 90.00 90.00
Element x y z (fractional)
B  0.500  0.499  0.230
B  0.000  0.993  0.212
B  0.000  0.344  0.607
B  0.000  0.341  0.368
B  0.000  0.681  0.886
B  0.500  0.846  0.362
B  0.500  0.469  0.995
C  0.500  0.842  0.591
C  0.000  0.689  0.658
C  0.500  0.144  0.694
C  0.500  0.145  0.910
C  0.000  0.006  0.986

- Calculated volume: 82.34 Å³/f.u.
- D(E_F): 3.38 states/eV per cell
- Final energy: -87.0 eV/cell
- Space-group type: Pm, No. 6
- ΔE_f: 492 meV/atom

## BC (PBE)

Data for a relaxed structure of BC.

Lattice parameters (Å, degrees): 2.537 4.037 7.969 86.75 90.00 90.00
Element x y z (fractional)
B  0.000  0.019  0.330
B  0.500  0.546  0.531
B  0.000  0.231  0.503
B  0.500  0.704  0.302
B  0.500  0.785  0.022
B  0.500  0.465  0.811
C  0.000  0.003  0.682
C  0.000  0.228  0.837
C  0.500  0.788  0.684
C  0.500  0.462  0.149
C  0.000  0.022  0.997
C  0.000  0.247  0.151

- Calculated volume: 13.58 Å³/f.u.
- D(E_F): 1.84 states/eV per cell
- Final energy: -90.3 eV/cell
- Space-group type: P2/m, No. 10
- ΔE_f: 424 meV/atom

## BC (PBE)

Data for a relaxed structure of BC.

Lattice parameters (Å, degrees): 10.247 10.247 10.247 14.88 14.88 14.88
Element x y z (fractional)
C  0.491  0.491  0.491
C  0.950  0.950  0.950
C  0.688  0.688  0.688
C  0.004  0.004  0.004
B  0.276  0.276  0.276
B  0.740  0.740  0.740
B  0.161  0.161  0.161
B  0.439  0.439  0.439

- Calculated volume: 15.44 Å³/f.u.
- D(E_F): 2.46 states/eV per cell
- Final energy: -61.1 eV/cell
- Space-group type: R3m, No. 160
- ΔE_f: 312 meV/atom

## BC (PBE)

Data for a relaxed structure of BC.

Lattice parameters (Å, degrees): 7.460 7.473 7.473 160.62 144.68 40.61
Element x y z (fractional)
B  0.005  0.352  0.653
B  0.136  0.112  0.023
B  0.534  0.852  0.682
B  0.593  0.273  0.321
B  0.971  0.667  0.304
B  0.129  0.784  0.345
C  0.506  0.159  0.347
C  0.605  0.616  0.989
C  0.634  0.966  0.667
C  0.002  0.000  0.002
C  0.503  0.504  0.000
C  0.131  0.465  0.666

- Calculated volume: 13.30 Å³/f.u.
- D(E_F): 2.23 states/eV per cell
- Final energy: -90.1 eV/cell
- Space-group type: Cm, No. 8
- ΔE_f: 439 meV/atom

## B7C5 (PBE)

Data for a relaxed structure of B7C5.

Lattice parameters (Å, degrees): 4.464 4.464 5.572 92.74 92.74 44.96
Element x y z (fractional)
B  0.397  0.363  0.693
B  0.212  0.714  0.243
B  0.643  0.658  0.322
B  0.952  0.455  0.590
B  0.304  0.270  0.141
B  0.565  0.102  0.417
B  0.009  0.023  0.511
C  0.876  0.392  0.062
C  0.599  0.068  0.917
C  0.683  0.680  0.841
C  0.274  0.790  0.771
C  0.986  0.984  0.992

- Calculated volume: 78.36 Å³/f.u.
- D(E_F): 3.20 states/eV per cell
- Final energy: -87.8 eV/cell
- Space-group type: C2, No. 5
- ΔE_f: 420 meV/atom

## BC (PBE)

Data for a relaxed structure of BC.

Lattice parameters (Å, degrees): 6.746 6.746 4.890 101.30 101.30 21.90
Element x y z (fractional)
B  0.912  0.912  0.798
B  0.338  0.338  0.077
B  0.231  0.231  0.376
B  0.320  0.320  0.688
B  0.019  0.019  0.499
B  0.930  0.930  0.187
C  0.228  0.228  0.885
C  0.022  0.022  0.990
C  0.663  0.663  0.837
C  0.587  0.587  0.038
C  0.593  0.593  0.549
C  0.657  0.657  0.326

- Calculated volume: 13.55 Å³/f.u.
- D(E_F): 0.55 states/eV per cell
- Final energy: -91.0 eV/cell
- Space-group type: C2/m, No. 12
- ΔE_f: 368 meV/atom

Question: Among the records above, which one has the highest ΔE_f?
Answer: number 7